! SCAN SrYTeI2, PBEsol geometry; values from VASP
&SYSTEM
  ibrav = 0, nat = 5, ntyp = 4
/
ATOMIC_SPECIES
I 126.90 I.upf
Y 88.91 Y.upf
Te 127.60 Te.upf
Sr 87.62 Sr.upf
ATOMIC_POSITIONS crystal
I 0.000 0.500 0.000
I 0.500 0.000 0.000
Y 0.000 0.000 0.000
Te 0.000 0.000 0.500
Sr 0.500 0.500 0.500
CELL_PARAMETERS angstrom
5.805 0.000 0.000
0.000 5.805 0.000
0.000 0.000 5.884
! Calculated total energy: -33.35 eV per atom
! Spin magnetization: 0.000 μB/atom
! Volume: 39.7 A^3/atom


! SCAN SrTiI2, PBEsol geometry; values from VASP
&SYSTEM
  ibrav = 0, nat = 4, ntyp = 3
/
ATOMIC_SPECIES
I 126.90 I.upf
Sr 87.62 Sr.upf
Ti 47.87 Ti.upf
ATOMIC_POSITIONS crystal
I 0.250 0.250 0.250
I 0.750 0.750 0.750
Sr 0.500 0.500 0.500
Ti 0.000 0.000 0.000
CELL_PARAMETERS angstrom
-3.969 -0.760 -3.379
0.319 -3.810 -3.624
-3.028 -4.290 0.416
! Calculated total energy: -28.27 eV per atom
! Spin magnetization: 0.000 μB/atom
! Volume: 25.8 A^3/atom


! SCAN Sr2TlI, PBEsol geometry; values from VASP
&SYSTEM
  ibrav = 0, nat = 4, ntyp = 3
/
ATOMIC_SPECIES
I 126.90 I.upf
Sr 87.62 Sr.upf
Tl 204.38 Tl.upf
ATOMIC_POSITIONS crystal
I 0.000 0.000 0.000
Sr 0.250 0.250 0.250
Sr 0.750 0.750 0.750
Tl 0.500 0.500 0.500
CELL_PARAMETERS angstrom
5.783 0.000 0.000
2.892 5.008 0.000
2.892 1.669 4.722
! Calculated total energy: -39.12 eV per atom
! Spin magnetization: 0.000 μB/atom
! Volume: 34.2 A^3/atom


! SCAN SrTlI3, PBEsol geometry; values from VASP
&SYSTEM
  ibrav = 0, nat = 5, ntyp = 3
/
ATOMIC_SPECIES
I 126.90 I.upf
Sr 87.62 Sr.upf
Tl 204.38 Tl.upf
ATOMIC_POSITIONS crystal
I 0.000 0.500 0.000
I 0.000 0.000 0.500
I 0.500 0.000 0.000
Sr 0.000 0.000 0.000
Tl 0.500 0.500 0.500
CELL_PARAMETERS angstrom
-4.588 0.214 4.249
2.048 -5.366 2.481
3.729 3.210 3.865
! Calculated total energy: -42.20 eV per atom
! Spin magnetization: 0.000 μB/atom
! Volume: 49.0 A^3/atom


! SCAN SrUI6, PBEsol geometry; values from VASP
&SYSTEM
  ibrav = 0, nat = 16, ntyp = 3
/
ATOMIC_SPECIES
Sr 87.62 Sr.upf
U 238.03 U.upf
I 126.90 I.upf
ATOMIC_POSITIONS crystal
Sr 0.916 0.084 0.750
Sr 0.084 0.916 0.250
U 0.582 0.418 0.750
U 0.418 0.582 0.250
I 0.464 0.316 0.374
I 0.316 0.464 0.874
I 0.067 0.232 0.123
I 0.232 0.067 0.623
I 0.625 0.154 0.876
I 0.154 0.625 0.376
I 0.846 0.375 0.624
I 0.375 0.846 0.124
I 0.933 0.768 0.877
I 0.768 0.933 0.377
I 0.684 0.536 0.126
I 0.536 0.684 0.626
CELL_PARAMETERS angstrom
-1.577 -7.095 -2.899
7.304 1.739 2.203
-4.783 -2.791 13.160
! Calculated total energy: -44.53 eV per atom
! Spin magnetization: 0.250 μB/atom
! Volume: 46.6 A^3/atom


! SCAN SrZnI2, PBEsol geometry; values from VASP
&SYSTEM
  ibrav = 0, nat = 4, ntyp = 3
/
ATOMIC_SPECIES
I 126.90 I.upf
Sr 87.62 Sr.upf
Zn 65.41 Zn.upf
ATOMIC_POSITIONS crystal
I 0.250 0.250 0.250
I 0.750 0.750 0.750
Sr 0.500 0.500 0.500
Zn 0.000 0.000 0.000
CELL_PARAMETERS angstrom
-2.830 -3.513 -3.429
-3.145 -4.174 2.190
-5.653 0.263 -0.286
! Calculated total energy: -28.32 eV per atom
! Spin magnetization: 0.000 μB/atom
! Volume: 32.2 A^3/atom


! SCAN TaI5, PBEsol geometry; values from VASP
&SYSTEM
  ibrav = 0, nat = 48, ntyp = 2
/
ATOMIC_SPECIES
Ta 180.95 Ta.upf
I 126.90 I.upf
ATOMIC_POSITIONS crystal
Ta 0.504 0.126 0.140
Ta 0.504 0.126 0.360
Ta 0.496 0.874 0.860
Ta 0.996 0.626 0.140
Ta 0.004 0.374 0.860
Ta 0.004 0.374 0.640
Ta 0.496 0.874 0.640
Ta 0.996 0.626 0.360
I 0.247 0.041 0.444
I 0.239 0.295 0.750
I 0.738 0.711 0.056
I 0.269 0.048 0.250
I 0.747 0.459 0.944
I 0.261 0.283 0.151
I 0.231 0.548 0.250
I 0.246 0.531 0.849
I 0.739 0.717 0.849
I 0.746 0.969 0.349
I 0.769 0.452 0.750
I 0.239 0.783 0.349
I 0.254 0.031 0.651
I 0.761 0.217 0.849
I 0.762 0.211 0.056
I 0.261 0.283 0.349
I 0.262 0.289 0.944
I 0.253 0.541 0.444
I 0.762 0.211 0.444
I 0.262 0.289 0.556
I 0.739 0.205 0.250
I 0.239 0.783 0.151
I 0.761 0.705 0.250
I 0.761 0.217 0.651
I 0.254 0.031 0.849
I 0.261 0.795 0.750
I 0.754 0.469 0.151
I 0.753 0.959 0.944
I 0.731 0.952 0.750
I 0.253 0.541 0.056
I 0.738 0.711 0.444
I 0.247 0.041 0.056
I 0.246 0.531 0.651
I 0.739 0.717 0.651
I 0.754 0.469 0.349
I 0.747 0.459 0.556
I 0.746 0.969 0.151
I 0.753 0.959 0.556
I 0.238 0.789 0.944
I 0.238 0.789 0.556
CELL_PARAMETERS angstrom
-5.880 -1.544 2.223
-2.236 -7.826 -11.347
7.701 -15.811 9.387
! Calculated total energy: -42.14 eV per atom
! Spin magnetization: 0.000 μB/atom
! Volume: 37.5 A^3/atom


! SCAN TaI4, PBEsol geometry; values from VASP
&SYSTEM
  ibrav = 0, nat = 20, ntyp = 2
/
ATOMIC_SPECIES
Ta 180.95 Ta.upf
I 126.90 I.upf
ATOMIC_POSITIONS crystal
Ta 0.115 0.911 0.835
Ta 0.885 0.089 0.165
Ta 0.188 0.671 0.720
Ta 0.812 0.329 0.280
I 0.244 0.945 0.076
I 0.488 0.754 0.830
I 0.876 0.904 0.638
I 0.206 0.127 0.712
I 0.794 0.873 0.288
I 0.079 0.457 0.335
I 0.427 0.423 0.810
I 0.026 0.679 0.969
I 0.124 0.096 0.362
I 0.512 0.246 0.170
I 0.756 0.055 0.924
I 0.974 0.321 0.031
I 0.656 0.293 0.507
I 0.921 0.543 0.665
I 0.344 0.707 0.493
I 0.573 0.577 0.190
CELL_PARAMETERS angstrom
-6.936 1.243 -0.165
-4.499 -8.835 3.709
-0.015 2.065 10.454
! Calculated total energy: -43.13 eV per atom
! Spin magnetization: 0.000 μB/atom
! Volume: 37.7 A^3/atom


Q: What is the spin magnetization in the fifth record?
A: 0.250 μB/atom